1.
{
  "formula": "AcNd2Co",
  "functional": "PBE-GGA",
  "state": "relaxed",
  "lattice": [[-1.219, -3.071, 2.258], [1.431, -3.675, -0.679], [7.171, -0.605, 6.593]],
  "species": ["Ac", "Nd", "Nd", "Co"],
  "fractional_positions": [[0.501, 0.501, 0.497], [0.052, 0.052, 0.843], [0.280, 0.280, 0.159], [0.666, 0.666, 0.001]],
  "final_energy_ev_per_atom": -5.17,
  "formation_energy_ev_per_atom": 0.02,
  "space_group": "R3m (160)"
}


2.
{
  "formula": "SrTlPRu",
  "functional": "PBE-GGA",
  "state": "relaxed",
  "lattice": [[3.842, 0.000, 0.000], [-1.921, 3.327, 0.000], [0.000, 0.000, 22.244]],
  "species": ["Sr", "Sr", "Sr", "Tl", "Tl", "Tl", "P", "P", "P", "Ru", "Ru", "Ru"],
  "fractional_positions": [[0.000, 0.000, 0.279], [0.333, 0.667, 0.946], [0.667, 0.333, 0.612], [0.000, 0.000, 0.491], [0.333, 0.667, 0.158], [0.667, 0.333, 0.825], [0.000, 0.000, 0.706], [0.333, 0.667, 0.372], [0.667, 0.333, 0.039], [0.000, 0.000, 0.065], [0.333, 0.667, 0.731], [0.667, 0.333, 0.398]],
  "final_energy_ev_per_atom": -5.11,
  "formation_energy_ev_per_atom": -0.42,
  "space_group": "R3m (160)"
}


3.
{
  "formula": "Th2Ge3SbPd4",
  "functional": "PBE-GGA",
  "state": "relaxed",
  "lattice": [[4.323, 0.000, 0.000], [0.000, 4.323, 0.000], [0.000, 0.000, 10.799]],
  "species": ["Th", "Th", "Ge", "Ge", "Ge", "Sb", "Pd", "Pd", "Pd", "Pd"],
  "fractional_positions": [[0.500, 0.000, 0.230], [0.000, 0.500, 0.770], [0.000, 0.000, 0.500], [0.500, 0.000, 0.873], [0.000, 0.500, 0.127], [0.500, 0.500, 0.500], [0.500, 0.500, 0.000], [0.000, 0.000, 0.000], [0.500, 0.000, 0.646], [0.000, 0.500, 0.354]],
  "final_energy_ev_per_atom": -6.13,
  "space_group": "P-4m2 (115)",
  "e_form_raw_ev_per_atom": -0.773
}


4.
{
  "formula": "Re2SeI2",
  "functional": "PBE-GGA",
  "state": "relaxed",
  "lattice": [[8.809, 0.000, 0.000], [0.000, 8.809, 0.000], [0.000, 0.000, 3.082]],
  "species": ["I", "I", "I", "I", "Re", "Re", "Re", "Re", "Se", "Se"],
  "fractional_positions": [[0.316, 0.816, 0.000], [0.816, 0.684, 0.000], [0.684, 0.184, 0.000], [0.184, 0.316, 0.000], [0.091, 0.591, 0.500], [0.591, 0.909, 0.500], [0.909, 0.409, 0.500], [0.409, 0.091, 0.500], [0.000, 0.000, 0.000], [0.500, 0.500, 0.000]],
  "final_energy_ev_per_atom": -4.75,
  "space_group": "P4/mbm (127)",
  "e_form_raw_ev_per_atom": 1.546
}


5.
{
  "formula": "ScCu2Ni",
  "functional": "PBE-GGA",
  "state": "relaxed",
  "lattice": [[4.821, -0.017, -0.016], [3.436, 3.382, -0.016], [1.406, 0.573, 3.335]],
  "species": ["Sc", "Ni", "Cu", "Cu"],
  "fractional_positions": [[0.750, 0.750, 0.750], [0.250, 0.250, 0.250], [0.000, 0.000, 0.000], [0.500, 0.500, 0.500]],
  "final_energy_ev_per_atom": -5.36,
  "formation_energy_ev_per_atom": -0.28,
  "space_group": "I4/mmm (139)"
}


6.
{
  "formula": "Li2BRh4Pb2",
  "functional": "PBE-GGA",
  "state": "relaxed",
  "lattice": [[-0.880, 0.257, 5.660], [3.821, -3.784, -1.989], [2.609, 4.423, -2.550]],
  "species": ["Li", "Li", "B", "Rh", "Rh", "Rh", "Rh", "Pb", "Pb"],
  "fractional_positions": [[0.000, 0.717, 0.717], [0.000, 0.283, 0.283], [0.000, 0.000, 0.000], [0.000, 0.754, 0.246], [0.509, 0.754, 0.754], [0.000, 0.246, 0.754], [0.491, 0.246, 0.246], [0.500, 0.750, 0.250], [0.500, 0.250, 0.750]],
  "final_energy_ev_per_atom": -5.57,
  "formation_energy_ev_per_atom": -0.31,
  "space_group": "I4/mmm (139)"
}


7.
{
  "formula": "KCrPb2Br8",
  "functional": "PBE-GGA",
  "state": "relaxed",
  "lattice": [[6.970, 0.071, -0.006], [0.117, 6.673, 0.000], [0.004, 0.020, 8.992]],
  "species": ["K", "Cr", "Pb", "Pb", "Br", "Br", "Br", "Br", "Br", "Br", "Br", "Br"],
  "fractional_positions": [[0.000, 0.000, 0.500], [0.000, 0.000, 0.000], [0.500, 0.500, 0.761], [0.500, 0.500, 0.239], [0.140, 0.772, 0.201], [0.695, 0.791, 0.999], [0.859, 0.227, 0.200], [0.860, 0.228, 0.799], [0.305, 0.209, 0.001], [0.141, 0.773, 0.800], [0.629, 0.732, 0.500], [0.371, 0.268, 0.500]],
  "final_energy_ev_per_atom": -3.57,
  "space_group": "P-1 (2)",
  "e_form_raw_ev_per_atom": -0.946
}


8.
{
  "formula": "CdTc3S",
  "functional": "PBE-GGA",
  "state": "relaxed",
  "lattice": [[4.394, 0.000, 0.000], [0.000, 4.394, 0.000], [0.000, 0.000, 4.394]],
  "species": ["S", "Tc", "Tc", "Tc", "Cd"],
  "fractional_positions": [[0.000, 0.000, 0.000], [0.000, 0.500, 0.000], [0.000, 0.000, 0.500], [0.500, 0.000, 0.000], [0.500, 0.500, 0.500]],
  "final_energy_ev_per_atom": -6.82,
  "space_group": "Pm-3m (221)",
  "e_form_raw_ev_per_atom": 0.407
}


9.
{
  "formula": "ZrTaTc",
  "functional": "PBE-GGA",
  "state": "relaxed",
  "lattice": [[5.642, 0.004, 0.000], [3.770, 4.197, 0.000], [-4.706, -2.101, 2.296]],
  "species": ["Tc", "Zr", "Ta"],
  "fractional_positions": [[0.342, 0.342, 0.000], [0.674, 0.674, 0.000], [0.984, 0.984, 0.000]],
  "final_energy_ev_per_atom": -10.56,
  "formation_energy_ev_per_atom": -0.30,
  "space_group": "I4mm (107)"
}


10.
{
  "formula": "ZnNi3B",
  "functional": "PBE-GGA",
  "state": "relaxed",
  "lattice": [[-0.180, -1.255, 4.060], [4.207, -0.624, -0.007], [0.598, 4.015, 1.268]],
  "species": ["Ni", "Ni", "Ni", "Zn", "B"],
  "fractional_positions": [[0.000, 0.500, 0.000], [0.000, 0.000, 0.500], [0.500, 0.000, 0.000], [0.000, 0.000, 0.000], [0.500, 0.500, 0.500]],
  "final_energy_ev_per_atom": -3.37,
  "formation_energy_ev_per_atom": 1.68,
  "space_group": "Pm-3m (221)"
}


11.
{
  "formula": "NaBe2Cu",
  "functional": "PBE-GGA",
  "state": "relaxed",
  "lattice": [[-0.920, 0.534, 4.174], [2.896, -3.019, 1.025], [6.374, 4.095, 3.104]],
  "species": ["Na", "Na", "Cu", "Cu", "Be", "Be", "Be", "Be"],
  "fractional_positions": [[0.500, 0.500, 0.000], [0.250, 0.750, 0.500], [0.000, 0.000, 0.000], [0.750, 0.250, 0.500], [0.875, 0.125, 0.250], [0.875, 0.625, 0.250], [0.375, 0.125, 0.750], [0.875, 0.125, 0.750]],
  "final_energy_ev_per_atom": -2.67,
  "formation_energy_ev_per_atom": 0.54,
  "space_group": "I4_1/amd (141)"
}


12.
{
  "formula": "SmMgTlTe3",
  "functional": "PBE-GGA",
  "state": "relaxed",
  "lattice": [[-1.556, -4.273, -0.027], [3.312, -1.263, 8.918], [-9.839, 3.576, 1.114]],
  "species": ["Sm", "Sm", "Mg", "Mg", "Tl", "Tl", "Te", "Te", "Te", "Te", "Te", "Te"],
  "fractional_positions": [[0.250, 0.671, 0.139], [0.750, 0.329, 0.861], [0.250, 0.082, 0.607], [0.750, 0.918, 0.393], [0.750, 0.797, 0.786], [0.250, 0.203, 0.214], [0.250, 0.783, 0.465], [0.750, 0.896, 0.124], [0.750, 0.454, 0.167], [0.750, 0.217, 0.535], [0.250, 0.546, 0.833], [0.250, 0.104, 0.876]],
  "final_energy_ev_per_atom": -3.99,
  "space_group": "P2_1/m (11)",
  "e_form_raw_ev_per_atom": -0.970
}


13.
{
  "formula": "LiTl3Tc2O8",
  "functional": "PBE-GGA",
  "state": "relaxed",
  "lattice": [[6.070, 0.000, 0.000], [-3.035, 5.256, 0.000], [0.000, 0.000, 7.783]],
  "species": ["Li", "Tl", "Tl", "Tl", "Tc", "Tc", "O", "O", "O", "O", "O", "O", "O", "O"],
  "fractional_positions": [[0.000, 0.000, 0.500], [0.333, 0.667, 0.667], [0.667, 0.333, 0.333], [0.000, 0.000, 0.000], [0.333, 0.667, 0.229], [0.667, 0.333, 0.771], [0.333, 0.667, 0.001], [0.667, 0.333, 0.999], [0.173, 0.827, 0.311], [0.827, 0.173, 0.689], [0.173, 0.346, 0.311], [0.827, 0.654, 0.689], [0.654, 0.827, 0.311], [0.346, 0.173, 0.689]],
  "final_energy_ev_per_atom": -6.20,
  "space_group": "P-3m1 (164)",
  "e_form_raw_ev_per_atom": -1.245
}


14.
{
  "formula": "Pa2HO5F",
  "functional": "PBE-GGA",
  "state": "relaxed",
  "lattice": [[5.042, 0.000, 0.000], [0.000, 6.599, 0.000], [0.000, 0.000, 6.599]],
  "species": ["Pa", "Pa", "Pa", "Pa", "H", "H", "O", "O", "O", "O", "O", "O", "O", "O", "O", "O", "F", "F"],
  "fractional_positions": [[0.500, 0.684, 0.184], [0.500, 0.184, 0.316], [0.500, 0.816, 0.684], [0.500, 0.316, 0.816], [0.000, 0.000, 0.500], [0.000, 0.500, 0.000], [0.500, 0.500, 0.500], [0.500, 0.000, 0.000], [0.256, 0.126, 0.626], [0.256, 0.874, 0.374], [0.256, 0.374, 0.126], [0.256, 0.626, 0.874], [0.744, 0.126, 0.626], [0.744, 0.626, 0.874], [0.744, 0.874, 0.374], [0.744, 0.374, 0.126], [0.000, 0.500, 0.500], [0.000, 0.000, 0.000]],
  "final_energy_ev_per_atom": -7.81,
  "space_group": "P4/mbm (127)"
}


15.
{
  "formula": "LiGeB",
  "functional": "PBE-GGA",
  "state": "relaxed",
  "lattice": [[9.255, 0.000, 0.000], [0.000, 9.255, 0.000], [4.627, 4.627, 2.648]],
  "species": ["Ge", "Ge", "Ge", "Ge", "B", "B", "B", "B", "Li", "Li", "Li", "Li"],
  "fractional_positions": [[0.293, 0.000, 0.000], [0.707, 0.000, 0.000], [0.000, 0.293, 0.000], [0.000, 0.707, 0.000], [0.906, 0.906, 0.000], [0.094, 0.094, 0.000], [0.094, 0.906, 0.000], [0.906, 0.094, 0.000], [0.792, 0.500, 0.000], [0.208, 0.500, 0.000], [0.500, 0.792, 0.000], [0.500, 0.208, 0.000]],
  "final_energy_ev_per_atom": -4.06,
  "formation_energy_ev_per_atom": 0.34,
  "space_group": "I4/mmm (139)"
}


16.
{
  "formula": "DyHoZn4",
  "functional": "PBE-GGA",
  "state": "relaxed",
  "lattice": [[4.164, 0.000, 1.675], [1.732, 5.113, 1.708], [0.147, -0.382, 5.647]],
  "species": ["Dy", "Ho", "Zn", "Zn", "Zn", "Zn"],
  "fractional_positions": [[0.000, 0.500, 0.500], [0.000, 0.000, 0.000], [0.667, 0.583, 0.084], [0.333, 0.916, 0.417], [0.333, 0.417, 0.916], [0.667, 0.084, 0.583]],
  "final_energy_ev_per_atom": -2.76,
  "formation_energy_ev_per_atom": -0.38,
  "space_group": "Immm (71)"
}


17.
{
  "formula": "Ce2AlNi3",
  "functional": "PBE-GGA",
  "state": "relaxed",
  "lattice": [[-2.734, -4.556, -0.402], [3.645, 0.590, 3.842], [-5.622, 2.943, 4.882]],
  "species": ["Ce", "Ce", "Ce", "Ce", "Al", "Al", "Ni", "Ni", "Ni", "Ni", "Ni", "Ni"],
  "fractional_positions": [[0.667, 0.333, 0.433], [0.333, 0.667, 0.567], [0.333, 0.667, 0.933], [0.667, 0.333, 0.067], [0.000, 0.000, 0.500], [0.000, 0.000, 0.000], [0.168, 0.335, 0.250], [0.335, 0.168, 0.750], [0.832, 0.665, 0.750], [0.168, 0.832, 0.250], [0.832, 0.168, 0.750], [0.665, 0.832, 0.250]],
  "final_energy_ev_per_atom": -5.96,
  "formation_energy_ev_per_atom": -0.47,
  "space_group": "P6_3/mmc (194)"
}


18.
{
  "formula": "CeMg15",
  "functional": "PBE-GGA",
  "state": "relaxed",
  "lattice": [[3.266, -5.657, 0.000], [3.266, 5.657, 0.000], [0.000, 0.000, 10.357]],
  "species": ["Ce", "Mg", "Mg", "Mg", "Mg", "Mg", "Mg", "Mg", "Mg", "Mg", "Mg", "Mg", "Mg", "Mg", "Mg", "Mg"],
  "fractional_positions": [[0.000, 0.000, 0.000], [0.000, 0.000, 0.500], [0.014, 0.507, 0.000], [0.997, 0.498, 0.500], [0.493, 0.986, 0.000], [0.502, 0.003, 0.500], [0.493, 0.507, 0.000], [0.502, 0.498, 0.500], [0.167, 0.833, 0.254], [0.167, 0.833, 0.746], [0.167, 0.334, 0.254], [0.167, 0.334, 0.746], [0.666, 0.833, 0.254], [0.666, 0.833, 0.746], [0.667, 0.333, 0.237], [0.667, 0.333, 0.763]],
  "final_energy_ev_per_atom": -1.83,
  "formation_energy_ev_per_atom": 0.03,
  "space_group": "P-6m2 (187)"
}